--- P ---
## BaGeAu3 (PBE)

Data for a relaxed structure of BaGeAu3.

Values from the calculation:
Total moment ... 0.0 μB/cell
Space-group type ... I4mm

abc: 6.183 6.183 6.183
angles: 133.73 133.73 67.51
Fractional coordinates of all 5 atoms:
Ba: 0.000 0.000 0.000
Ge: 0.648 0.648 0.000
Au: 0.243 0.743 0.500
Au: 0.398 0.398 0.000
Au: 0.743 0.243 0.500

***

--- Q ---
## BaGeAu3 (PBE)

Data for a relaxed structure of BaGeAu3.

Values from the calculation:
Total moment ... 0.9 μB/cell
Space-group type ... Pm-3m

abc: 5.979 5.979 5.979
angles: 90.00 90.00 90.00
Fractional coordinates of all 5 atoms:
Ba: 0.000 0.000 0.000
Ge: 0.500 0.500 0.500
Au: 0.000 0.000 0.500
Au: 0.000 0.500 0.000
Au: 0.500 0.000 0.000

***

--- R ---
## BaGeAu3 (PBE)

Data for a relaxed structure of BaGeAu3.

Values from the calculation:
Total moment ... 0.0 μB/cell
Space-group type ... Pm-3m

abc: 5.106 5.106 5.106
angles: 90.00 90.00 90.00
Fractional coordinates of all 5 atoms:
Ba: 0.000 0.000 0.000
Ge: 0.500 0.500 0.500
Au: 0.000 0.500 0.500
Au: 0.500 0.000 0.500
Au: 0.500 0.500 0.000

***

Which of them is most stable? Easy: P.

***

--- P ---
## Ba3Ge3Au8 (PBE)

Data for a relaxed structure of Ba3Ge3Au8.

Values from the calculation:
Total moment ... 0.0 μB/cell
Space-group type ... C2/m

abc: 9.178 9.178 9.682
angles: 121.14 121.14 29.70
Fractional coordinates of all 14 atoms:
Ba: 0.000 0.000 0.000
Ba: 0.294 0.294 0.327
Ba: 0.706 0.706 0.673
Ge: 0.000 0.000 0.500
Ge: 0.329 0.329 0.986
Ge: 0.671 0.671 0.014
Au: 0.108 0.108 0.390
Au: 0.144 0.144 0.865
Au: 0.361 0.361 0.745
Au: 0.481 0.481 0.295
Au: 0.519 0.519 0.705
Au: 0.639 0.639 0.255
Au: 0.856 0.856 0.135
Au: 0.892 0.892 0.610

***

--- Q ---
## Ba3Ge3Au8 (PBE)

Data for a relaxed structure of Ba3Ge3Au8.

Values from the calculation:
Total moment ... 0.0 μB/cell
Space-group type ... Immm

abc: 8.841 8.841 8.841
angles: 147.20 111.97 77.60
Fractional coordinates of all 14 atoms:
Ba: 0.000 0.000 0.000
Ba: 0.292 0.292 0.000
Ba: 0.708 0.708 0.000
Ge: 0.303 0.500 0.803
Ge: 0.500 0.000 0.500
Ge: 0.697 0.500 0.197
Au: 0.008 0.654 0.354
Au: 0.166 0.870 0.296
Au: 0.300 0.654 0.646
Au: 0.426 0.130 0.296
Au: 0.574 0.870 0.704
Au: 0.700 0.346 0.354
Au: 0.834 0.130 0.704
Au: 0.992 0.346 0.646

***

Which of them is most stable? Easy: P.

***

--- P ---
## BaGe2OsAu (PBE)

Data for a relaxed structure of BaGe2OsAu.

Values from the calculation:
Total moment ... 1.5 μB/cell
Space-group type ... P4/mmm

abc: 5.032 5.032 5.318
angles: 90.00 90.00 90.00
Fractional coordinates of all 5 atoms:
Ba: 0.000 0.000 0.000
Ge: 0.000 0.500 0.500
Ge: 0.500 0.000 0.500
Os: 0.500 0.500 0.000
Au: 0.500 0.500 0.500

***

--- Q ---
## BaGe2OsAu (PBE)

Data for a relaxed structure of BaGe2OsAu.

Values from the calculation:
Total moment ... 2.1 μB/cell
Space-group type ... P4/mmm

abc: 4.920 4.920 6.099
angles: 90.00 90.00 90.00
Fractional coordinates of all 5 atoms:
Ba: 0.000 0.000 0.000
Ge: 0.000 0.500 0.500
Ge: 0.500 0.000 0.500
Os: 0.500 0.500 0.000
Au: 0.000 0.000 0.500

***

Which of them is most stable? Easy: P.

***

--- P ---
## Ba5HAu2 (PBE)

Data for a relaxed structure of Ba5HAu2.

Values from the calculation:
Total moment ... 0.0 μB/cell
Space-group type ... Pnma

abc: 15.070 4.944 18.266
angles: 90.00 90.00 90.00
Fractional coordinates of all 32 atoms:
Ba: 0.003 0.250 0.158
Ba: 0.016 0.750 0.396
Ba: 0.193 0.250 0.962
Ba: 0.230 0.250 0.292
Ba: 0.248 0.750 0.127
Ba: 0.252 0.250 0.627
Ba: 0.270 0.750 0.792
Ba: 0.307 0.750 0.462
Ba: 0.484 0.250 0.896
Ba: 0.497 0.750 0.658
Ba: 0.503 0.250 0.342
Ba: 0.516 0.750 0.104
Ba: 0.693 0.250 0.538
Ba: 0.730 0.250 0.208
Ba: 0.748 0.750 0.373
Ba: 0.752 0.250 0.873
Ba: 0.770 0.750 0.708
Ba: 0.807 0.750 0.038
Ba: 0.984 0.250 0.604
Ba: 0.997 0.750 0.842
H: 0.182 0.250 0.133
H: 0.318 0.750 0.633
H: 0.682 0.250 0.367
H: 0.818 0.750 0.867
Au: 0.125 0.250 0.777
Au: 0.151 0.250 0.465
Au: 0.349 0.750 0.965
Au: 0.375 0.750 0.277
Au: 0.625 0.250 0.723
Au: 0.651 0.250 0.035
Au: 0.849 0.750 0.535
Au: 0.875 0.750 0.223

***

--- Q ---
## Ba5HAu2 (PBE)

Data for a relaxed structure of Ba5HAu2.

Values from the calculation:
Total moment ... 0.0 μB/cell
Space-group type ... Cmcm

abc: 7.759 7.759 15.458
angles: 90.00 90.00 130.47
Fractional coordinates of all 16 atoms:
Ba: 0.059 0.941 0.621
Ba: 0.059 0.941 0.879
Ba: 0.277 0.723 0.250
Ba: 0.349 0.651 0.579
Ba: 0.349 0.651 0.921
Ba: 0.651 0.349 0.079
Ba: 0.651 0.349 0.421
Ba: 0.723 0.277 0.750
Ba: 0.941 0.059 0.121
Ba: 0.941 0.059 0.379
H: 0.205 0.795 0.750
H: 0.795 0.205 0.250
Au: 0.167 0.833 0.064
Au: 0.167 0.833 0.436
Au: 0.833 0.167 0.564
Au: 0.833 0.167 0.936

***

Which of them is most stable? Easy: P.

***

--- P ---
## BaH2Au (PBE)

Data for a relaxed structure of BaH2Au.

Values from the calculation:
Total moment ... 0.0 μB/cell
Space-group type ... Pnma

abc: 13.893 4.765 5.099
angles: 90.00 90.00 90.00
Fractional coordinates of all 16 atoms:
Ba: 0.127 0.250 0.188
Ba: 0.373 0.750 0.688
Ba: 0.627 0.250 0.312
Ba: 0.873 0.750 0.812
H: 0.061 0.750 0.970
H: 0.192 0.750 0.419
H: 0.308 0.250 0.919
H: 0.439 0.250 0.470
H: 0.561 0.750 0.530
H: 0.692 0.750 0.081
H: 0.808 0.250 0.581
H: 0.939 0.250 0.030
Au: 0.120 0.750 0.683
Au: 0.380 0.250 0.183
Au: 0.620 0.750 0.817
Au: 0.880 0.250 0.317

***

--- Q ---
## BaH2Au (PBE)

Data for a relaxed structure of BaH2Au.

Values from the calculation:
Total moment ... 0.0 μB/cell
Space-group type ... Fm-3m

abc: 4.674 4.674 4.674
angles: 60.00 60.00 60.00
Fractional coordinates of all 4 atoms:
Ba: 0.000 0.000 0.000
H: 0.250 0.250 0.250
H: 0.750 0.750 0.750
Au: 0.500 0.500 0.500

***

Which of them is most stable? Easy: P.

***

--- P ---
## BaH2Au (PBE)

Data for a relaxed structure of BaH2Au.

Values from the calculation:
Total moment ... 0.0 μB/cell
Space-group type ... P2_1/c

abc: 4.970 7.170 8.405
angles: 90.00 91.62 90.00
Fractional coordinates of all 16 atoms:
Ba: 0.235 0.135 0.164
Ba: 0.235 0.365 0.664
Ba: 0.765 0.635 0.336
Ba: 0.765 0.865 0.836
H: 0.067 0.732 0.599
H: 0.067 0.768 0.099
H: 0.282 0.036 0.839
H: 0.282 0.464 0.339
H: 0.718 0.536 0.661
H: 0.718 0.964 0.161
H: 0.933 0.232 0.901
H: 0.933 0.268 0.401
Au: 0.301 0.609 0.046
Au: 0.301 0.891 0.546
Au: 0.699 0.109 0.454
Au: 0.699 0.391 0.954

***

--- Q ---
## BaH2Au (PBE)

Data for a relaxed structure of BaH2Au.

Values from the calculation:
Total moment ... 0.0 μB/cell
Space-group type ... I4_1/amd

abc: 6.712 6.712 6.712
angles: 137.29 137.29 61.99
Fractional coordinates of all 8 atoms:
Ba: 0.375 0.625 0.750
Ba: 0.625 0.375 0.250
H: 0.000 0.000 0.000
H: 0.000 0.000 0.500
H: 0.000 0.500 0.000
H: 0.500 0.000 0.500
Au: 0.125 0.875 0.250
Au: 0.875 0.125 0.750

***

--- R ---
## BaH2Au (PBE)

Data for a relaxed structure of BaH2Au.

Values from the calculation:
Total moment ... 0.0 μB/cell
Space-group type ... R-3m

abc: 5.126 5.126 5.126
angles: 55.38 55.38 55.38
Fractional coordinates of all 4 atoms:
Ba: 0.000 0.000 0.000
H: 0.371 0.371 0.371
H: 0.629 0.629 0.629
Au: 0.500 0.500 0.500

***

Which of them is most stable? Easy: P.

***

--- P ---
## Ba3HAu (PBE)

Data for a relaxed structure of Ba3HAu.

Values from the calculation:
Total moment ... 0.0 μB/cell
Space-group type ... Cmcm

abc: 7.754 7.754 11.321
angles: 90.00 90.00 145.92
Fractional coordinates of all 10 atoms:
Ba: 0.070 0.930 0.750
Ba: 0.356 0.644 0.576
Ba: 0.356 0.644 0.924
Ba: 0.644 0.356 0.076
Ba: 0.644 0.356 0.424
Ba: 0.930 0.070 0.250
H: 0.475 0.525 0.750
H: 0.525 0.475 0.250
Au: 0.254 0.746 0.250
Au: 0.746 0.254 0.750

***

--- Q ---
## Ba3HAu (PBE)

Data for a relaxed structure of Ba3HAu.

Values from the calculation:
Total moment ... 0.0 μB/cell
Space-group type ... Pm-3m

abc: 5.544 5.544 5.544
angles: 90.00 90.00 90.00
Fractional coordinates of all 5 atoms:
Ba: 0.000 0.000 0.500
Ba: 0.000 0.500 0.000
Ba: 0.500 0.000 0.000
H: 0.000 0.000 0.000
Au: 0.500 0.500 0.500

***

Which of them is most stable? Easy: P.

***

--- P ---
## Ba6H2Au (PBE)

Data for a relaxed structure of Ba6H2Au.

Values from the calculation:
Total moment ... 0.0 μB/cell
Space-group type ... C2/m

abc: 7.956 7.956 12.610
angles: 113.41 113.41 33.76
Fractional coordinates of all 9 atoms:
Ba: 0.013 0.013 0.244
Ba: 0.331 0.331 0.903
Ba: 0.333 0.333 0.406
Ba: 0.667 0.667 0.594
Ba: 0.669 0.669 0.097
Ba: 0.987 0.987 0.756
H: 0.172 0.172 0.206
H: 0.828 0.828 0.794
Au: 0.000 0.000 0.500

***

--- Q ---
## Ba6H2Au (PBE)

Data for a relaxed structure of Ba6H2Au.

Values from the calculation:
Total moment ... 0.0 μB/cell
Space-group type ... P2_1/c

abc: 7.865 8.100 14.085
angles: 90.00 119.26 90.00
Fractional coordinates of all 18 atoms:
Ba: 0.095 0.066 0.263
Ba: 0.095 0.434 0.763
Ba: 0.210 0.673 0.069
Ba: 0.210 0.827 0.569
Ba: 0.382 0.188 0.090
Ba: 0.382 0.312 0.590
Ba: 0.618 0.688 0.410
Ba: 0.618 0.812 0.910
Ba: 0.790 0.173 0.431
Ba: 0.790 0.327 0.931
Ba: 0.905 0.566 0.237
Ba: 0.905 0.934 0.737
H: 0.101 0.137 0.630
H: 0.101 0.363 0.130
H: 0.899 0.637 0.870
H: 0.899 0.863 0.370
Au: 0.500 0.000 0.500
Au: 0.500 0.500 0.000

***

Which of them is most stable? Easy: P.